a.
## Cr3HgRu (PBE)

Data for a relaxed Cr3HgRu crystal.

Summary:
- size of the total moment (μB per atom) = 1.91
- ρ (g cm⁻³) = 7.34

```
Cr3HgRu
1.0
4.696 0.000 0.000
0.000 4.696 0.000
0.000 0.000 4.696
Cr Hg Ru
3 1 1
Direct
0.000 0.000 0.500
0.000 0.500 0.000
0.500 0.000 0.000
0.500 0.500 0.500
0.000 0.000 0.000
```

---

b.
## Cr3HgRu (PBE)

Data for a relaxed Cr3HgRu crystal.

Summary:
- size of the total moment (μB per atom) = 2.11
- ρ (g cm⁻³) = 6.17

```
Cr3HgRu
1.0
4.974 0.000 0.000
0.000 4.974 0.000
0.000 0.000 4.974
Cr Hg Ru
3 1 1
Direct
0.000 0.000 0.500
0.000 0.500 0.000
0.500 0.000 0.000
0.000 0.000 0.000
0.500 0.500 0.500
```

---

Structures ranked by computed energy, the most stable listed first: a, b.

---

a.
## Ta2CrHgRu (PBE)

Data for a relaxed Ta2CrHgRu crystal.

Summary:
- size of the total moment (μB per atom) = 0.65
- ρ (g cm⁻³) = 10.11

```
Ta2CrHgRu
1.0
4.991 0.000 0.000
0.000 4.991 0.000
0.000 0.000 4.720
Ta Cr Hg Ru
2 1 1 1
Direct
0.000 0.500 0.000
0.500 0.000 0.000
0.000 0.000 0.500
0.000 0.000 0.000
0.500 0.500 0.500
```

---

b.
## Ta2CrHgRu (PBE)

Data for a relaxed Ta2CrHgRu crystal.

Summary:
- size of the total moment (μB per atom) = 0.00
- ρ (g cm⁻³) = 12.41

```
Ta2CrHgRu
1.0
4.648 0.000 0.000
0.000 4.648 0.000
0.000 0.000 4.430
Ta Cr Hg Ru
2 1 1 1
Direct
0.000 0.500 0.000
0.500 0.000 0.000
0.000 0.000 0.000
0.500 0.500 0.500
0.000 0.000 0.500
```

---

Structures ranked by computed energy, the most stable listed first: b, a.

---

a.
## CrHg3S (PBE)

Data for a relaxed CrHg3S crystal.

Summary:
- size of the total moment (μB per atom) = 1.04
- ρ (g cm⁻³) = 7.71

```
CrHg3S
1.0
5.287 0.000 0.000
0.000 5.287 0.000
0.000 0.000 5.287
Cr Hg S
1 3 1
Direct
0.000 0.000 0.000
0.000 0.500 0.500
0.500 0.000 0.500
0.500 0.500 0.000
0.500 0.500 0.500
```

---

b.
## CrHg3S (PBE)

Data for a relaxed CrHg3S crystal.

Summary:
- size of the total moment (μB per atom) = 0.77
- ρ (g cm⁻³) = 7.56

```
CrHg3S
1.0
5.320 0.000 0.000
0.000 5.320 0.000
0.000 0.000 5.320
Cr Hg S
1 3 1
Direct
0.000 0.000 0.000
0.000 0.000 0.500
0.000 0.500 0.000
0.500 0.000 0.000
0.500 0.500 0.500
```

---

Structures ranked by computed energy, the most stable listed first: b, a.

---

a.
## CrHg2S2 (PBE)

Data for a relaxed CrHg2S2 crystal.

Summary:
- size of the total moment (μB per atom) = 0.93
- ρ (g cm⁻³) = 8.13

```
CrHg2S2
1.0
7.517 0.000 0.000
0.000 7.517 0.000
0.000 0.000 3.739
Cr Hg S
2 4 4
Direct
0.000 0.000 0.000
0.500 0.500 0.000
0.132 0.368 0.000
0.368 0.868 0.000
0.632 0.132 0.000
0.868 0.632 0.000
0.188 0.688 0.500
0.312 0.188 0.500
0.688 0.812 0.500
0.812 0.312 0.500
```

---

b.
## CrHg2S2 (PBE)

Data for a relaxed CrHg2S2 crystal.

Summary:
- size of the total moment (μB per atom) = 0.88
- ρ (g cm⁻³) = 7.42

```
CrHg2S2
1.0
-2.612 2.612 4.244
2.612 -2.612 4.244
2.612 2.612 -4.244
Cr Hg S
1 2 2
Direct
0.000 0.000 0.000
0.337 0.337 0.000
0.663 0.663 0.000
0.250 0.750 0.500
0.750 0.250 0.500
```

---

Structures ranked by computed energy, the most stable listed first: a, b.

---

a.
## CrHgSb2 (PBE)

Data for a relaxed CrHgSb2 crystal.

Summary:
- size of the total moment (μB per atom) = 1.05
- ρ (g cm⁻³) = 8.49

```
CrHgSb2
1.0
0.000 3.647 3.647
3.647 0.000 3.647
3.647 3.647 0.000
Cr Hg Sb
1 1 2
Direct
0.000 0.000 0.000
0.750 0.750 0.750
0.250 0.250 0.250
0.500 0.500 0.500
```

---

b.
## CrHgSb2 (PBE)

Data for a relaxed CrHgSb2 crystal.

Summary:
- size of the total moment (μB per atom) = 0.85
- ρ (g cm⁻³) = 7.73

```
CrHgSb2
1.0
4.055 -1.600 0.000
4.055 1.600 0.000
-0.632 0.000 8.208
Cr Hg Sb
1 1 2
Direct
0.000 0.000 0.000
0.500 0.500 0.500
0.304 0.304 0.186
0.696 0.696 0.814
```

---

Structures ranked by computed energy, the most stable listed first: b, a.

---

a.
## CrHgSb (PBE)

Data for a relaxed CrHgSb crystal.

Summary:
- size of the total moment (μB per atom) = 1.11
- ρ (g cm⁻³) = 8.64

```
CrHgSb
1.0
4.165 0.000 0.000
-2.082 3.607 0.000
0.000 0.000 4.789
Cr Hg Sb
1 1 1
Direct
0.000 0.000 0.000
0.333 0.667 0.326
0.667 0.333 0.732
```

---

b.
## CrHgSb (PBE)

Data for a relaxed CrHgSb crystal.

Summary:
- size of the total moment (μB per atom) = 1.18
- ρ (g cm⁻³) = 9.13

```
CrHgSb
1.0
-1.616 1.616 6.523
1.616 -1.616 6.523
1.616 1.616 -6.523
Cr Hg Sb
1 1 1
Direct
0.000 0.000 0.000
0.645 0.645 0.000
0.366 0.366 0.000
```

---

c.
## CrHgSb (PBE)

Data for a relaxed CrHgSb crystal.

Summary:
- size of the total moment (μB per atom) = 1.29
- ρ (g cm⁻³) = 8.99

```
CrHgSb
1.0
3.453 0.000 0.000
-1.727 2.991 0.000
0.000 0.000 6.697
Cr Hg Sb
1 1 1
Direct
0.000 0.000 0.000
0.333 0.667 0.312
0.667 0.333 0.710
```

---

Structures ranked by computed energy, the most stable listed first: b, c, a.

---

a.
## ScCrHg2 (PBE)

Data for a relaxed ScCrHg2 crystal.

Summary:
- size of the total moment (μB per atom) = 0.99
- ρ (g cm⁻³) = 10.25

```
ScCrHg2
1.0
-2.172 2.172 4.278
2.172 -2.172 4.278
2.172 2.172 -4.278
Sc Cr Hg
1 1 2
Direct
0.000 0.000 0.000
0.250 0.750 0.500
0.500 0.500 0.000
0.750 0.250 0.500
```

---

b.
## ScCrHg2 (PBE)

Data for a relaxed ScCrHg2 crystal.

Summary:
- size of the total moment (μB per atom) = 0.99
- ρ (g cm⁻³) = 10.18

```
ScCrHg2
1.0
3.382 0.000 0.000
0.000 4.843 0.000
0.000 0.000 4.962
Sc Cr Hg
1 1 2
Direct
0.000 0.000 0.000
0.000 0.500 0.590
0.500 0.000 0.501
0.500 0.500 0.089
```

---

Structures ranked by computed energy, the most stable listed first: b, a.